{"formula": "Tb3Zn4Cd4", "functional": "PBE", "state": "optimized geometry", "de_polymorph_mev_per_atom": 0, "delta_e_f_ev_per_atom": -0.28, "sg": "P-1", "dft_energy_ev_per_cell": -25.76, "cell": [[3.556, 0.000, 0.002], [0.000, 4.695, -0.001], [1.768, 2.320, 14.476]], "species": ["Tb", "Tb", "Tb", "Zn", "Zn", "Zn", "Zn", "Cd", "Cd", "Cd", "Cd"], "fractional_positions": [[0.141, 0.640, 0.719], [0.859, 0.360, 0.281], [0.000, 0.000, 0.000], [0.545, 0.545, 0.911], [0.455, 0.455, 0.089], [0.316, 0.817, 0.368], [0.684, 0.183, 0.632], [0.592, 0.092, 0.816], [0.263, 0.263, 0.474], [0.737, 0.737, 0.526], [0.408, 0.908, 0.183]]}


{"formula": "TbZn6Cd2", "functional": "PBE", "state": "optimized geometry", "delta_e_f_ev_per_atom": -0.07, "sg": "Immm", "dft_energy_ev_per_cell": -14.73, "cell": [[3.822, 0.000, 0.000], [0.000, 7.110, 0.000], [-1.911, -3.555, 6.428]], "species": ["Tb", "Zn", "Zn", "Zn", "Zn", "Zn", "Zn", "Cd", "Cd"], "fractional_positions": [[0.000, 0.500, 0.000], [0.681, 0.867, 0.362], [0.319, 0.133, 0.638], [0.319, 0.505, 0.638], [0.500, 0.179, 0.000], [0.500, 0.821, 0.000], [0.681, 0.495, 0.362], [0.869, 0.869, 0.738], [0.131, 0.131, 0.262]]}


{"formula": "Tb6ZnCd2", "functional": "PBE", "state": "optimized geometry", "delta_e_f_ev_per_atom": -0.09, "sg": "P2_1/c", "dft_energy_ev_per_cell": -63.35, "cell": [[0.705, -4.823, 4.100], [4.062, -5.031, -6.617], [8.025, 1.759, 3.589]], "species": ["Tb", "Tb", "Tb", "Tb", "Tb", "Tb", "Tb", "Tb", "Tb", "Tb", "Tb", "Tb", "Zn", "Zn", "Cd", "Cd", "Cd", "Cd"], "fractional_positions": [[0.879, 0.964, 0.205], [0.891, 0.671, 0.530], [0.901, 0.693, 0.941], [0.599, 0.193, 0.559], [0.609, 0.171, 0.970], [0.621, 0.464, 0.295], [0.121, 0.036, 0.795], [0.109, 0.329, 0.470], [0.099, 0.307, 0.059], [0.401, 0.807, 0.441], [0.391, 0.829, 0.030], [0.379, 0.536, 0.705], [0.500, 0.500, 0.000], [0.000, 0.000, 0.500], [0.874, 0.401, 0.780], [0.626, 0.901, 0.720], [0.374, 0.099, 0.280], [0.126, 0.599, 0.220]]}